{"formula": "PuHRu", "functional": "PBE", "state": "relaxed", "rho_g_cm3": 14.1, "de_polymorph_mev_per_atom": 0, "m_tot_mub_per_fu": 4.963, "cell": [[-0.3562, -2.9060, 0.7865], [3.9505, 1.6244, 1.9484], [-3.1194, 1.7086, 4.9003]], "species": ["Ru", "Ru", "H", "H", "Pu", "Pu"], "fractional_positions": [[0.0000, 0.0000, 0.0000], [0.0000, 0.0000, 0.5000], [0.5271, 0.0542, 0.7500], [0.4729, 0.9458, 0.2500], [0.7360, 0.4719, 0.2500], [0.2640, 0.5281, 0.7500]]}

{"formula": "ReAg2Se", "functional": "PBE", "state": "relaxed", "rho_g_cm3": 10.9, "final_energy_ev_per_cell": -18.93, "m_tot_mub_per_fu": 0.000, "cell": [[-0.4067, 3.4379, 3.8963], [-0.3108, -2.1911, 1.9009], [4.4566, -2.2438, 2.4450]], "species": ["Ag", "Ag", "Re", "Se"], "fractional_positions": [[0.0000, 0.7485, 0.0081], [0.0000, 0.7515, 0.4919], [0.5000, 0.2500, 0.2500], [0.5000, 0.7500, 0.7500]]}

{"formula": "Hf3ZrTi", "functional": "PBE", "state": "relaxed", "formation_enthalpy_0k_mev_per_atom": 136, "rho_g_cm3": 10.3, "de_polymorph_mev_per_atom": 0, "m_tot_mub_per_fu": 0.000, "cell": [[0.2008, -0.1113, 3.1276], [4.6034, -3.5765, 1.6428], [7.4687, 9.5489, -0.1395]], "species": ["Hf", "Hf", "Hf", "Hf", "Hf", "Hf", "Zr", "Zr", "Ti", "Ti"], "fractional_positions": [[0.8802, 0.4874, 0.1840], [0.1198, 0.5126, 0.8160], [0.6198, 0.0126, 0.1840], [0.3802, 0.9874, 0.8160], [0.7500, 0.2500, 0.6290], [0.2500, 0.7500, 0.3710], [0.2500, 0.2500, 0.4104], [0.7500, 0.7500, 0.5896], [0.7500, 0.2500, 0.9840], [0.2500, 0.7500, 0.0160]]}

{"formula": "Tb3NdHo7", "functional": "PBE", "state": "relaxed", "formation_enthalpy_0k_mev_per_atom": 148, "rho_g_cm3": 8.3, "de_polymorph_mev_per_atom": 0, "m_tot_mub_per_fu": 0.000, "cell": [[4.6814, -0.0920, -2.9286], [-1.0519, 9.6359, -1.9847], [-1.0397, -0.7059, 8.7714]], "species": ["Tb", "Tb", "Tb", "Nd", "Ho", "Ho", "Ho", "Ho", "Ho", "Ho", "Ho"], "fractional_positions": [[0.2783, 0.9968, 0.7785], [0.0000, 0.5000, 0.0000], [0.7217, 0.0032, 0.2215], [0.5000, 0.5000, 0.5000], [0.9233, 0.8312, 0.9234], [0.8516, 0.7104, 0.3519], [0.6772, 0.3581, 0.1772], [0.3228, 0.6419, 0.8228], [0.5000, 0.0000, 0.5000], [0.1484, 0.2896, 0.6481], [0.0767, 0.1688, 0.0766]]}

{"formula": "Dy7Ho12Hf", "functional": "PBE", "state": "relaxed", "formation_enthalpy_0k_mev_per_atom": 303, "rho_g_cm3": 8.7, "m_tot_mub_per_fu": 0.000, "cell": [[-3.0790, -4.1512, 6.8615], [3.7208, -6.9572, -3.3979], [7.1163, 2.7111, 3.9751]], "species": ["Dy", "Dy", "Dy", "Dy", "Dy", "Dy", "Dy", "Ho", "Ho", "Ho", "Ho", "Ho", "Ho", "Ho", "Ho", "Ho", "Ho", "Ho", "Ho", "Hf"], "fractional_positions": [[0.9186, 0.6545, 0.9823], [0.3455, 0.0177, 0.0814], [0.0177, 0.0814, 0.3455], [0.5000, 0.5000, 0.5000], [0.9823, 0.9186, 0.6545], [0.6545, 0.9823, 0.9186], [0.0814, 0.3455, 0.0177], [0.8143, 0.2494, 0.6844], [0.7506, 0.3156, 0.1857], [0.4804, 0.1475, 0.4137], [0.8525, 0.5863, 0.5196], [0.3156, 0.1857, 0.7506], [0.5863, 0.5196, 0.8525], [0.4137, 0.4804, 0.1475], [0.6844, 0.8143, 0.2494], [0.1475, 0.4137, 0.4804], [0.5196, 0.8525, 0.5863], [0.2494, 0.6844, 0.8143], [0.1857, 0.7506, 0.3156], [0.0000, 0.0000, 0.0000]]}

{"formula": "La3Mg2MoS8", "functional": "PBE", "state": "relaxed", "rho_g_cm3": 3.7, "final_energy_ev_per_cell": -82.96, "m_tot_mub_per_fu": 3.000, "cell": [[6.8029, -4.0598, 0.0056], [6.8029, 4.0598, 0.0056], [4.3746, 0.0000, 6.6049]], "species": ["La", "La", "La", "Mg", "Mg", "Mo", "S", "S", "S", "S", "S", "S", "S", "S"], "fractional_positions": [[0.5000, 0.0000, 0.5000], [0.0000, 0.5000, 0.5000], [0.5000, 0.5000, 0.0000], [0.1261, 0.1261, 0.1261], [0.8739, 0.8739, 0.8739], [0.5000, 0.5000, 0.5000], [0.2705, 0.7368, 0.2705], [0.2632, 0.7295, 0.7295], [0.7479, 0.7479, 0.7479], [0.7295, 0.7295, 0.2632], [0.2521, 0.2521, 0.2521], [0.2705, 0.2705, 0.7368], [0.7295, 0.2632, 0.7295], [0.7368, 0.2705, 0.2705]]}

{"formula": "DyTiS", "functional": "PBE", "state": "relaxed", "rho_g_cm3": 6.7, "final_energy_ev_per_cell": -38.48, "m_tot_mub_per_fu": 0.215, "cell": [[4.4964, 0.0000, 0.0000], [0.0000, 3.5050, 0.0000], [-2.2482, -1.7525, 7.6680]], "species": ["Dy", "Dy", "Ti", "Ti", "S", "S"], "fractional_positions": [[0.6679, 0.1679, 0.3359], [0.3321, 0.8321, 0.6641], [0.7467, 0.5000, 0.0000], [0.2533, 0.5000, 0.0000], [0.1540, 0.6540, 0.3079], [0.8460, 0.3460, 0.6921]]}

{"formula": "SnBi2Sb", "functional": "PBE", "state": "relaxed", "rho_g_cm3": 9.2, "de_polymorph_mev_per_atom": 88, "m_tot_mub_per_fu": 0.000, "cell": [[0.0000, 3.9091, 3.9091], [3.9091, 0.0000, 3.9091], [3.9091, 3.9091, 0.0000]], "species": ["Sb", "Bi", "Bi", "Sn"], "fractional_positions": [[0.5000, 0.5000, 0.5000], [0.2500, 0.2500, 0.2500], [0.7500, 0.7500, 0.7500], [0.0000, 0.0000, 0.0000]]}

{"formula": "Tb2Sc2Ru3", "functional": "PBE", "state": "relaxed", "formation_enthalpy_0k_mev_per_atom": -350, "rho_g_cm3": 8.2, "m_tot_mub_per_fu": 0.000, "cell": [[4.4608, -0.0005, -1.2453], [-2.4040, 3.9593, -0.0016], [-0.1126, -0.0664, 8.2087]], "species": ["Tb", "Tb", "Sc", "Sc", "Ru", "Ru", "Ru"], "fractional_positions": [[0.2446, 0.1225, 0.3668], [0.7554, 0.8775, 0.6332], [0.7422, 0.3713, 0.1132], [0.2578, 0.6287, 0.8868], [0.0000, 0.0000, 0.0000], [0.5113, 0.2553, 0.7672], [0.4887, 0.7447, 0.2328]]}

{"formula": "PrNdCdOs", "functional": "PBE", "state": "relaxed", "formation_enthalpy_0k_mev_per_atom": -37, "rho_g_cm3": 9.8, "m_tot_mub_per_fu": 0.000, "cell": [[5.2017, 0.0000, 0.0000], [2.6009, 4.5048, 0.0000], [2.6009, 1.5016, 4.2472]], "species": ["Pr", "Nd", "Os", "Cd"], "fractional_positions": [[0.5000, 0.5000, 0.5000], [0.0000, 0.0000, 0.0000], [0.2500, 0.2500, 0.2500], [0.7500, 0.7500, 0.7500]]}

{"formula": "Li4Th3NiS8", "functional": "PBE", "state": "relaxed", "rho_g_cm3": 5.1, "final_energy_ev_per_cell": -91.59, "m_tot_mub_per_fu": 0.891, "cell": [[7.5373, 0.0000, 0.0000], [0.0000, 7.6237, -0.2510], [-3.7686, -3.9730, 6.0554]], "species": ["Li", "Li", "Li", "Li", "Th", "Th", "Th", "Ni", "S", "S", "S", "S", "S", "S", "S", "S"], "fractional_positions": [[0.5000, 0.0000, 0.0000], [0.5000, 0.0000, 0.5000], [0.0000, 0.0000, 0.0000], [0.0000, 0.0000, 0.5000], [0.5000, 0.5000, 0.0000], [0.5000, 0.5000, 0.5000], [0.0000, 0.5000, 0.5000], [0.0000, 0.5000, 0.0000], [0.2062, 0.7193, 0.9715], [0.2889, 0.8045, 0.5779], [0.2613, 0.2382, 0.5226], [0.7653, 0.7193, 0.9715], [0.2347, 0.2807, 0.0285], [0.7387, 0.7618, 0.4774], [0.7111, 0.1955, 0.4221], [0.7938, 0.2807, 0.0285]]}

{"formula": "MoSNCl2", "functional": "PBE", "state": "relaxed", "rho_g_cm3": 4.3, "de_polymorph_mev_per_atom": 576, "m_tot_mub_per_fu": 3.531, "cell": [[-1.0007, 0.1558, 4.0195], [2.5253, -3.1997, 0.7527], [3.6329, 3.0521, 0.7862]], "species": ["Mo", "N", "S", "Cl", "Cl"], "fractional_positions": [[0.5000, 0.5000, 0.5000], [0.0000, 0.0000, 0.0000], [0.0000, 0.0000, 0.5000], [0.0000, 0.5000, 0.0000], [0.5000, 0.0000, 0.0000]]}